Below is PmAlGe2 after structural relaxation, with properties calculated at the GGA-PBE level.

For the formation energy, the calculation gives -0.415 eV/atom. The calculation puts the energy above the most stable polymorph in this dataset at 12 meV/atom. For the electronic total energy, the calculation gives -19.388 eV per cell.

It has space group P4/mmm (No. 123), with a = 4.493 Å, b = 4.493 Å, c = 4.126 Å, α = 90.00°, β = 90.00° and γ = 90.00°. The asymmetric unit holds Pm at (0.000, 0.000, 0.000), Al at (0.500, 0.500, 0.000) and Ge at (0.000, 0.500, 0.500).

Below is SiHg2Ir after structural relaxation, with properties calculated at the GGA-PBE level.

The calculation puts the uncorrected formation energy at 0.556 eV per atom. For the electronic total energy, the calculation gives -25.329 eV per cell.

It has space group Cmmm (No. 65), with a = 5.440 Å, b = 8.364 Å, c = 3.204 Å, α = 90.00°, β = 90.00° and γ = 90.00°. The asymmetric unit holds Si at (0.000, 0.000, 0.000), Hg at (0.250, 0.250, 0.500) and Ir at (0.000, 0.500, 0.000).

Below is Th2NiP4Ir3 after structural relaxation, with properties calculated at the GGA-PBE level.

For the formation energy, the calculation gives -1.038 eV/atom. For the electronic total energy, the calculation gives -79.227 eV per cell.

It has space group P-4m2 (No. 115), with a = 4.235 Å, b = 4.235 Å, c = 9.359 Å, α = 90.00°, β = 90.00° and γ = 90.00°. The asymmetric unit holds Th at (0.000, 0.500, 0.250), Ni at (0.000, 0.000, 0.500), P at (0.000, 0.000, 0.000), P at (0.000, 0.500, 0.630), P at (0.500, 0.500, 0.000), Ir at (0.000, 0.500, 0.887) and Ir at (0.500, 0.500, 0.500).

Below is BaTlIr2 after structural relaxation, with properties calculated at the GGA-PBE level.

For the formation energy, the calculation gives 0.715 eV/atom. For the electronic total energy, the calculation gives -38.304 eV per cell.

It has space group I-4m2 (No. 119), with a = 4.328 Å, b = 4.328 Å, c = 9.554 Å, α = 90.00°, β = 90.00° and γ = 90.00°. The asymmetric unit holds Ba at (0.000, 0.000, 0.000), Tl at (0.000, 0.500, 0.250), Ir at (0.000, 0.000, 0.500) and Ir at (0.000, 0.500, 0.750).

> Among the records above, which one has the lowest electronic total energy?

Th2NiP4Ir3